(1)
Here is a geometry-optimized SrLi3P structure from Alexandria via LeMat-Bulk. Energies are from PBE.

abc: 5.3590 5.3590 5.3590
angles: 90.00 90.00 90.00
Last column: nearest neighbours and their distance in Å.
Atoms (fractional coordinates):
Li 0.5000 0.0000 0.0000  2 Sr 2.68
P 0.5000 0.5000 0.5000  12 Li 3.79
Li 0.0000 0.0000 0.5000  2 Sr 2.68
Li 0.0000 0.5000 0.0000  2 Sr 2.68
Sr 0.0000 0.0000 0.0000  6 Li 2.68

Output
space group = Pm-3m, No. 221
volume = 30.8 A^3/atom
formation enthalpy at 0 K = 1.131 eV per atom
DOS at the Fermi energy = 1.94 states/eV per cell

(2)
Here is a geometry-optimized Ti7Tl3Sn structure from Alexandria via LeMat-Bulk. Energies are from PBE.

abc: 5.1543 7.1786 7.1786
angles: 89.90 111.05 111.05
Last column: nearest neighbours and their distance in Å.
Atoms (fractional coordinates):
Ti 0.3282 0.0737 0.5827  4 Ti 2.85-3.01, 4 Tl 2.89-2.99, 1 Sn 2.99
Ti 0.8096 0.8104 0.8104  1 Sn 2.72, 2 Tl 2.84, 2 Ti 2.85
Ti 0.3282 0.5827 0.0737  4 Ti 2.85-3.01, 4 Tl 2.89-2.99, 1 Sn 2.99
Tl 0.5000 0.0000 0.0000  8 Ti 2.91-3.07
Ti 0.0000 0.5000 0.5000  2 Sn 2.58, 2 Tl 2.76
Ti 0.6718 0.4173 0.9263  4 Ti 2.85-3.01, 4 Tl 2.89-2.99, 1 Sn 2.99
Tl 0.0000 0.2277 0.7723  9 Ti 2.76-2.99
Sn 0.5000 0.5000 0.5000  4 Ti 2.58-2.72
Ti 0.1904 0.1896 0.1896  1 Sn 2.72, 2 Tl 2.84, 2 Ti 2.85
Tl 0.0000 0.7723 0.2277  9 Ti 2.76-2.99
Ti 0.6718 0.9263 0.4173  4 Ti 2.85-3.01, 4 Tl 2.89-2.99, 1 Sn 2.99

Output
space group = Immm, No. 71
volume = 20.8 A^3/atom
formation enthalpy at 0 K = 0.271 eV per atom
DOS at the Fermi energy = 11.34 states/eV per cell

(3)
Here is a geometry-optimized MgTcSn2S structure from Alexandria via LeMat-Bulk. Energies are from PBE.

abc: 5.4154 4.3323 5.4154
angles: 90.00 90.00 90.00
Last column: nearest neighbours and their distance in Å.
Atoms (fractional coordinates):
Tc 0.0000 0.5000 0.0000  2 S 2.17
Sn 0.5000 0.0000 0.0000  2 S 2.71
S 0.0000 0.0000 0.0000  2 Tc 2.17
Sn 0.0000 0.0000 0.5000  2 S 2.71
Mg 0.5000 0.5000 0.5000  8 Sn 3.47, 4 Tc 3.83

Output
space group = P4/mmm, No. 123
volume = 25.4 A^3/atom
uncorrected formation energy = 0.46 eV per atom
DOS at the Fermi energy = 3.57 states/eV per cell

Q: The highest DOS at the Fermi energy belongs to which entry?
A: Ti7Tl3Sn

Q: Which formula does entry 1 have?
A: SrLi3P